[1]
DFT (PBE) results for LaTbHg4 after structural relaxation.

The structure in POSCAR format:
```
LaTbHg4
1.0
4.573 0.000 -0.002
0.000 4.592 0.002
0.004 0.006 8.783
La Tb Hg
1 1 4
Direct
0.501 0.496 0.998 La
0.001 0.998 0.498 Tb
0.501 0.997 0.261 Hg
0.501 0.997 0.735 Hg
0.001 0.497 0.734 Hg
0.001 0.498 0.262 Hg
```

**Crystal system**: monoclinic
**Formation energy from the elements**: -20 kJ per mole of atoms
**Space group**: Pm

=====

[2]
DFT (PBE) results for TbDyAlIr after structural relaxation.

The structure in POSCAR format:
```
TbDyAlIr
1.0
4.983 0.000 0.000
2.492 4.316 0.000
2.492 1.439 4.069
Ir Tb Al Dy
1 1 1 1
Direct
0.000 0.000 0.000 Ir
0.750 0.750 0.750 Tb
0.500 0.500 0.500 Al
0.250 0.250 0.250 Dy
```

**Crystal system**: cubic
**Formation energy from the elements**: -53 kJ per mole of atoms
**Space group**: F-43m

=====

[3]
DFT (PBE) results for CuRu2Pb after structural relaxation.

The structure in POSCAR format:
```
CuRu2Pb
1.0
-2.273 3.987 0.179
-2.069 3.114 -2.668
-4.849 -1.656 0.161
Cu Pb Ru
1 1 2
Direct
0.750 0.750 0.750 Cu
0.250 0.250 0.250 Pb
0.006 0.006 0.960 Ru
0.494 0.494 0.540 Ru
```

**Crystal system**: monoclinic
**Formation energy from the elements**: 45 kJ per mole of atoms
**Space group**: C2/m

=====

[4]
DFT (PBE) results for Ac4Ge2Cl after structural relaxation.

The structure in POSCAR format:
```
Ac4Ge2Cl
1.0
-0.413 -7.542 1.056
7.671 -0.405 0.104
0.091 3.842 8.221
Ac Ge Cl
8 4 2
Direct
0.533 0.492 0.253 Ac
0.013 0.750 0.856 Ac
0.987 0.250 0.144 Ac
0.533 0.008 0.253 Ac
0.989 0.250 0.588 Ac
0.467 0.992 0.747 Ac
0.467 0.508 0.747 Ac
0.011 0.750 0.412 Ac
0.708 0.750 0.047 Ge
0.292 0.250 0.953 Ge
0.326 0.250 0.450 Ge
0.674 0.750 0.550 Ge
0.222 0.750 0.185 Cl
0.778 0.250 0.815 Cl
```

**Crystal system**: monoclinic
**Total energy**: -65.5 eV per cell
**Space group**: P2_1/m

=====

[5]
DFT (PBE) results for PrNd3Cd3 after structural relaxation.

The structure in POSCAR format:
```
PrNd3Cd3
1.0
7.531 1.733 0.489
-1.803 7.514 0.489
-0.345 -0.557 7.277
Pr Nd Cd
2 6 6
Direct
0.741 0.741 0.000 Pr
0.259 0.259 0.000 Pr
0.741 0.741 0.500 Nd
0.257 0.743 0.500 Nd
0.743 0.257 0.500 Nd
0.256 0.744 0.000 Nd
0.744 0.256 0.000 Nd
0.259 0.259 0.500 Nd
0.000 0.000 0.253 Cd
0.000 0.500 0.749 Cd
0.500 0.000 0.749 Cd
0.000 0.500 0.251 Cd
0.500 0.000 0.251 Cd
0.000 0.000 0.747 Cd
```

**Crystal system**: orthorhombic
**Formation energy from the elements**: -16 kJ per mole of atoms
**Space group**: Cmmm

=====

[6]
DFT (PBE) results for Dy2MgTc after structural relaxation.

The structure in POSCAR format:
```
Dy2MgTc
1.0
3.471 0.000 0.000
0.000 3.471 0.000
0.000 0.000 8.079
Mg Tc Dy
1 1 2
Direct
0.500 0.500 0.500 Mg
0.500 0.500 0.000 Tc
0.000 0.000 0.798 Dy
0.000 0.000 0.202 Dy
```

**Crystal system**: tetragonal
**Formation energy from the elements**: -7 kJ per mole of atoms
**Space group**: P4/mmm

=====

[7]
DFT (PBE) results for TmScTiGa after structural relaxation.

The structure in POSCAR format:
```
TmScTiGa
1.0
4.938 0.000 0.000
2.469 4.276 0.000
2.469 1.425 4.032
Sc Tm Ga Ti
1 1 1 1
Direct
0.000 0.000 0.000 Sc
0.500 0.500 0.500 Tm
0.750 0.750 0.750 Ga
0.250 0.250 0.250 Ti
```

**Crystal system**: cubic
**Formation energy from the elements**: -15 kJ per mole of atoms
**Space group**: F-43m

=====

[8]
DFT (PBE) results for NbCo2RhC after structural relaxation.

The structure in POSCAR format:
```
NbCo2RhC
1.0
-2.093 2.158 -2.286
-0.699 -2.997 -2.189
-3.481 -0.897 2.340
Co Nb Rh C
2 1 1 1
Direct
0.000 0.500 0.000 Co
0.500 0.000 0.000 Co
0.000 0.000 0.500 Nb
0.500 0.500 0.500 Rh
0.000 0.000 0.000 C
```

**Crystal system**: tetragonal
**Formation energy from the elements**: -3 kJ per mole of atoms
**Space group**: P4/mmm